# 1
# Sm6B2CCl3

A relaxed structure of Sm6B2CCl3 (GGA-PBE, Alexandria via LeMat-Bulk).

Output
- Calculated volume: 22.48 A^3/atom
- Crystal system: monoclinic
- Energy: -5.63 eV/atom

a = 17.835 Å, b = 3.864 Å, c = 8.248 Å
α = 90.00°, β = 108.39°, γ = 90.00°
Space group C2/m (No. 12)
Inequivalent atoms, fractional coordinates:
Sm (0.010, 0.000, 0.215) x4
Sm (0.152, 0.500, 0.106) x4
Sm (0.177, 0.500, 0.557) x4
B (0.164, 0.000, 0.329) x4
C (0.000, 0.500, 0.000) x2
Cl (0.000, 0.500, 0.500) x2
Cl (0.167, 0.000, 0.833) x4

# 2
# Ta2BCCl

A relaxed structure of Ta2BCCl (GGA-PBE, Alexandria via LeMat-Bulk).

Output
- Calculated volume: 12.34 A^3/atom
- Crystal system: tetragonal
- Energy: -7.87 eV/atom

a = 4.511 Å, b = 4.511 Å, c = 3.032 Å
α = 90.00°, β = 90.00°, γ = 90.00°
Space group P4/mmm (No. 123)
Inequivalent atoms, fractional coordinates:
Ta (0.000, 0.500, 0.000) x2
B (0.000, 0.000, 0.500) x1
C (0.000, 0.000, 0.000) x1
Cl (0.500, 0.500, 0.500) x1

# 3
# Tb4BCCl2

A relaxed structure of Tb4BCCl2 (GGA-PBE, Alexandria via LeMat-Bulk).

Output
- Calculated volume: 20.81 A^3/atom
- Crystal system: monoclinic
- Energy: -5.77 eV/atom

a = 6.521 Å, b = 3.767 Å, c = 7.122 Å
α = 90.00°, β = 107.92°, γ = 90.00°
Space group P2/m (No. 10)
Inequivalent atoms, fractional coordinates:
Tb (0.227, 0.000, 0.192) x2
Tb (0.263, 0.500, 0.803) x2
B (0.500, 0.000, 0.000) x1
C (0.000, 0.500, 0.000) x1
Cl (0.000, 0.000, 0.500) x1
Cl (0.500, 0.500, 0.500) x1

# 4
# CoBC

A relaxed structure of CoBC (GGA-PBE, Alexandria via LeMat-Bulk).

Output
- Calculated volume: 8.26 A^3/atom
- Crystal system: monoclinic
- Energy of formation: 0.36 eV/atom

a = 6.033 Å, b = 2.593 Å, c = 6.586 Å
α = 90.00°, β = 105.87°, γ = 90.00°
Space group Cm (No. 8)
Inequivalent atoms, fractional coordinates:
Co (0.000, 0.000, 0.000) x2
Co (0.184, 0.500, 0.334) x2
B (0.144, 0.500, 0.656) x2
B (0.343, 0.000, 0.171) x2
C (0.238, 0.000, 0.588) x2
C (0.448, 0.000, 0.767) x2

no.,ρ (Mg/m³),magnetic moment (μB/cell)
1,6.4,0.000
2,11.3,0.000
3,7.3,0.000
4,5.5,0.001